This record from the Alexandria database describes a relaxed structure of MnBeO2. The functional is GGA+U.

Summary:
Total moment = 3.85 μB per formula unit
Total DFT energy (no corrections) = -79.1 eV for the cell shown
Density = 4.3 Mg/m³

abc: 2.7750 2.7750 16.5324
angles: 90.00 90.00 120.00
Space group R-3m (No. 166, hexagonal axes)
Inequivalent atoms, fractional coordinates:
Mn (0.0000, 0.0000, 0.0000) [3 per cell]
Be (0.0000, 0.0000, 0.5000) [3 per cell]
O (0.0000, 0.0000, 0.1102) [6 per cell]